First-principles (PBE) data for a geometry-optimized NaCd2InPb2 structure, as listed in Alexandria.

Cell: 5.0758 9.0827 7.3082 Å, 90.00 90.00 90.00°
Sites, in units of the cell vectors:
Na 0.0000 0.0575 0.0000
Na 0.0000 0.9425 0.5000
Cd 0.0000 0.3697 0.7867
Cd 0.0000 0.6303 0.2867
Cd 0.5000 0.1113 0.2811
Cd 0.5000 0.8887 0.7811
In 0.5000 0.2025 0.6930
In 0.5000 0.7975 0.1930
Pb 0.0000 0.2992 0.3627
Pb 0.0000 0.7008 0.8627
Pb 0.5000 0.4245 0.0610
Pb 0.5000 0.5755 0.5610

Results
ΔE_f: -0.03 eV per atom
Calculated volume: 28.08 Å³/atom